Entry 1:
# Li2AgBr

An optimized crystal structure of Li2AgBr (GGA-PBE, Alexandria).

Computed properties:
- total moment (μB per formula unit) = 0.0
- formation energy without anion corrections (eV per atom) = -0.631
- energy above the most stable polymorph in this dataset (eV/atom) = 0.024

Cell: 7.186 7.186 7.186 Å, 152.51 151.08 40.32°
Positions (direct):
Ag (0.453, 0.453, 0.000)
Br (0.209, 0.709, 0.500)
Li (0.051, 0.051, 0.000)
Li (0.787, 0.287, 0.500)

=====

Entry 2:
# LiAg3Br

An optimized crystal structure of LiAg3Br (GGA-PBE, Alexandria).

Computed properties:
- total moment (μB per formula unit) = 0.0
- formation energy without anion corrections (eV per atom) = 0.599
- energy above the most stable polymorph in this dataset (eV/atom) = 0.205

Cell: 5.309 5.309 5.309 Å, 90.00 90.00 90.00°
Positions (direct):
Br (0.000, 0.000, 0.000)
Ag (0.000, 0.500, 0.000)
Ag (0.000, 0.000, 0.500)
Ag (0.500, 0.000, 0.000)
Li (0.500, 0.500, 0.500)

=====

Entry 3:
# LiAg2Br

An optimized crystal structure of LiAg2Br (GGA-PBE, Alexandria).

Computed properties:
- total moment (μB per formula unit) = 0.0
- formation energy without anion corrections (eV per atom) = -0.418
- energy above the most stable polymorph in this dataset (eV/atom) = 0.014

Cell: 3.560 3.559 6.946 Å, 90.00 90.00 90.00°
Positions (direct):
Ag (0.000, 0.000, 0.005)
Ag (0.500, 0.500, 0.173)
Br (0.000, 0.000, 0.600)
Li (0.500, 0.500, 0.722)

=====

Entry 4:
# LiAg2Br

An optimized crystal structure of LiAg2Br (GGA-PBE, Alexandria).

Computed properties:
- total moment (μB per formula unit) = 0.0
- formation energy without anion corrections (eV per atom) = -0.363
- energy above the most stable polymorph in this dataset (eV/atom) = 0.068

Cell: 3.809 3.809 14.138 Å, 82.26 82.26 90.00°
Positions (direct):
Br (0.000, 0.000, 0.000)
Br (0.750, 0.250, 0.500)
Ag (0.624, 0.125, 0.250)
Ag (0.126, 0.625, 0.250)
Ag (0.375, 0.376, 0.750)
Ag (0.875, 0.874, 0.750)
Li (0.500, 0.500, 0.000)
Li (0.250, 0.750, 0.500)

=====

- Among the records above, which one has the lowest energy above the most stable polymorph in this dataset?
  number 3

=====

- Which formula does entry 3 have?
  LiAg2Br

=====

- What is the formation energy without anion corrections in the fourth record?
  -0.363 eV per atom